Entry 1:
This record from the Alexandria database describes crystalline TmGa3Os at its relaxed geometry. The functional is PBE.

a = 6.546 Å, b = 6.546 Å, c = 9.084 Å
α = 90.00°, β = 90.00°, γ = 112.75°
Fractional positions:
1 Tm 0.135 0.865 0.750
2 Tm 0.348 0.652 0.250
3 Tm 0.652 0.348 0.750
4 Tm 0.865 0.135 0.250
5 Ga 0.103 0.897 0.084
6 Ga 0.103 0.897 0.416
7 Ga 0.177 0.442 0.750
8 Ga 0.321 0.321 0.000
9 Ga 0.321 0.321 0.500
10 Ga 0.442 0.177 0.250
11 Ga 0.558 0.823 0.750
12 Ga 0.679 0.679 0.000
13 Ga 0.679 0.679 0.500
14 Ga 0.823 0.558 0.250
15 Ga 0.897 0.103 0.584
16 Ga 0.897 0.103 0.916
17 Os 0.000 0.500 0.000
18 Os 0.000 0.500 0.500
19 Os 0.500 0.000 0.000
20 Os 0.500 0.000 0.500

Output
DOS at the Fermi energy = 8.71 states/eV/cell
excess energy over the best structure of this formula in the dataset = 246 meV/atom
formation energy from the elements = -0.2342 eV per atom

=====

Entry 2:
This record from the Alexandria database describes crystalline ZnBH2 at its relaxed geometry. The functional is PBE.

a = 4.862 Å, b = 4.862 Å, c = 4.862 Å
α = 90.00°, β = 90.00°, γ = 90.00°
Fractional positions:
1 Zn 0.000 0.000 0.000
2 Zn 0.000 0.500 0.500
3 Zn 0.500 0.000 0.500
4 Zn 0.500 0.500 0.000
5 B 0.000 0.000 0.500
6 B 0.000 0.500 0.000
7 B 0.500 0.000 0.000
8 B 0.500 0.500 0.500
9 H 0.250 0.250 0.250
10 H 0.250 0.250 0.750
11 H 0.250 0.750 0.250
12 H 0.250 0.750 0.750
13 H 0.750 0.250 0.250
14 H 0.750 0.250 0.750
15 H 0.750 0.750 0.250
16 H 0.750 0.750 0.750

Output
DOS at the Fermi energy = 3.61 states/eV/cell
excess energy over the best structure of this formula in the dataset = 462 meV/atom